Entry 1:
The following is a DFT calculation (PBE) of an optimized crystal structure of Te2MoWSeS.

Cell and atoms, written as CIF:
```
data_Te2MoWSeS
_space_group_name_H-M_alt 'P 3 m 1'
_space_group_IT_number 156
_cell_length_a 3.3944
_cell_length_b 3.3944
_cell_length_c 35.3942
_cell_angle_alpha 90.00
_cell_angle_beta 90.00
_cell_angle_gamma 120.00
loop_
_space_group_symop_operation_xyz
'x,y,z'
'-y,x-y,z'
'-x+y,-x,z'
'-y,-x,z'
'-x+y,y,z'
'x,x-y,z'
loop_
_atom_site_label
_atom_site_fract_x
_atom_site_fract_y
_atom_site_fract_z
Te1 0.0000 0.0000 0.0000
Te2 0.0000 0.0000 0.1060
Te3 0.6667 0.3333 0.7829
Te4 0.6667 0.3333 0.8895
Mo1 0.6667 0.3333 0.0530
Mo2 0.6667 0.3333 0.6277
W1 0.0000 0.0000 0.2585
W2 0.0000 0.0000 0.8362
Se1 0.0000 0.0000 0.5811
Se2 0.0000 0.0000 0.6744
S1 0.6667 0.3333 0.2160
S2 0.6667 0.3333 0.3011
```

Results
**Calculated volume**: 177 Å³/f.u.
**E_form (uncorrected)**: -0.4079 eV/atom
**Density of states at the Fermi level**: 1.21 states/eV per cell
**Raw total energy**: -6.69 eV per atom

***

Entry 2:
The following is a DFT calculation (PBE) of an optimized crystal structure of TeMoWSeS2.

Cell and atoms, written as CIF:
```
data_TeMoWSeS2
_space_group_name_H-M_alt 'P 3 m 1'
_space_group_IT_number 156
_cell_length_a 3.3097
_cell_length_b 3.3097
_cell_length_c 37.1214
_cell_angle_alpha 90.00
_cell_angle_beta 90.00
_cell_angle_gamma 120.00
loop_
_space_group_symop_operation_xyz
'x,y,z'
'-y,x-y,z'
'-x+y,-x,z'
'-y,-x,z'
'-x+y,y,z'
'x,x-y,z'
loop_
_atom_site_label
_atom_site_fract_x
_atom_site_fract_y
_atom_site_fract_z
Te1 0.0000 0.0000 0.0000
Te2 0.0000 0.0000 0.1038
Mo1 0.0000 0.0000 0.2460
Mo2 0.0000 0.0000 0.8549
W1 0.3333 0.6667 0.0519
W2 0.3333 0.6667 0.4332
Se1 0.0000 0.0000 0.3878
Se2 0.0000 0.0000 0.4787
S1 0.3333 0.6667 0.2049
S2 0.3333 0.6667 0.2871
S3 0.3333 0.6667 0.8138
S4 0.3333 0.6667 0.8960
```

Results
**Calculated volume**: 176 Å³/f.u.
**E_form (uncorrected)**: -0.5451 eV/atom
**Density of states at the Fermi level**: 0.99 states/eV per cell
**Raw total energy**: -6.99 eV per atom

***

Entry 3:
The following is a DFT calculation (PBE) of an optimized crystal structure of Te4MoW3Se2S2.

Cell and atoms, written as CIF:
```
data_Te4MoW3Se2S2
_space_group_name_H-M_alt 'P 3 m 1'
_space_group_IT_number 156
_cell_length_a 3.3996
_cell_length_b 3.3996
_cell_length_c 37.4050
_cell_angle_alpha 90.00
_cell_angle_beta 90.00
_cell_angle_gamma 120.00
loop_
_space_group_symop_operation_xyz
'x,y,z'
'-y,x-y,z'
'-x+y,-x,z'
'-y,-x,z'
'-x+y,y,z'
'x,x-y,z'
loop_
_atom_site_label
_atom_site_fract_x
_atom_site_fract_y
_atom_site_fract_z
Te1 0.0000 0.0000 0.0000
Te2 0.0000 0.0000 0.1008
Te3 0.0000 0.0000 0.3965
Te4 0.0000 0.0000 0.4972
Mo1 0.0000 0.0000 0.8597
W1 0.0000 0.0000 0.2480
W2 0.3333 0.6667 0.0504
W3 0.3333 0.6667 0.4469
Se1 0.3333 0.6667 0.2038
Se2 0.3333 0.6667 0.2923
S1 0.3333 0.6667 0.8196
S2 0.3333 0.6667 0.8999
```

Results
**Calculated volume**: 374 Å³/f.u.
**E_form (uncorrected)**: -0.3426 eV/atom
**Density of states at the Fermi level**: 2.25 states/eV per cell
**Raw total energy**: -6.80 eV per atom

***

Entry 4:
The following is a DFT calculation (PBE) of an optimized crystal structure of Te2MoW3Se4S2.

Cell and atoms, written as CIF:
```
data_Te2MoW3Se4S2
_space_group_name_H-M_alt 'P 3 m 1'
_space_group_IT_number 156
_cell_length_a 3.3416
_cell_length_b 3.3416
_cell_length_c 31.6883
_cell_angle_alpha 90.00
_cell_angle_beta 90.00
_cell_angle_gamma 120.00
loop_
_space_group_symop_operation_xyz
'x,y,z'
'-y,x-y,z'
'-x+y,-x,z'
'-y,-x,z'
'-x+y,y,z'
'x,x-y,z'
loop_
_atom_site_label
_atom_site_fract_x
_atom_site_fract_y
_atom_site_fract_z
Te1 0.0000 0.0000 0.0000
Te2 0.0000 0.0000 0.1205
Mo1 0.0000 0.0000 0.8232
W1 0.0000 0.0000 0.3020
W2 0.6667 0.3333 0.0603
W3 0.6667 0.3333 0.5980
Se1 0.6667 0.3333 0.2491
Se2 0.6667 0.3333 0.3549
Se3 0.6667 0.3333 0.7706
Se4 0.6667 0.3333 0.8758
S1 0.0000 0.0000 0.5500
S2 0.0000 0.0000 0.6460
```

Results
**Calculated volume**: 306 Å³/f.u.
**E_form (uncorrected)**: -0.4963 eV/atom
**Density of states at the Fermi level**: 0.46 states/eV per cell
**Raw total energy**: -7.01 eV per atom

***

Entry 5:
The following is a DFT calculation (PBE) of an optimized crystal structure of Te4MoW3Se2S2.

Cell and atoms, written as CIF:
```
data_Te4MoW3Se2S2
_space_group_name_H-M_alt 'P 3 m 1'
_space_group_IT_number 156
_cell_length_a 3.3998
_cell_length_b 3.3998
_cell_length_c 38.0825
_cell_angle_alpha 90.00
_cell_angle_beta 90.00
_cell_angle_gamma 120.00
loop_
_space_group_symop_operation_xyz
'x,y,z'
'-y,x-y,z'
'-x+y,-x,z'
'-y,-x,z'
'-x+y,y,z'
'x,x-y,z'
loop_
_atom_site_label
_atom_site_fract_x
_atom_site_fract_y
_atom_site_fract_z
Te1 0.0000 0.0000 0.0000
Te2 0.0000 0.0000 0.0990
Te3 0.0000 0.0000 0.3745
Te4 0.0000 0.0000 0.4735
Mo1 0.0000 0.0000 0.2354
W1 0.0000 0.0000 0.8548
W2 0.3333 0.6667 0.0495
W3 0.3333 0.6667 0.4240
Se1 0.3333 0.6667 0.8114
Se2 0.3333 0.6667 0.8983
S1 0.3333 0.6667 0.1960
S2 0.3333 0.6667 0.2748
```

Results
**Calculated volume**: 381 Å³/f.u.
**E_form (uncorrected)**: -0.3429 eV/atom
**Density of states at the Fermi level**: 2.92 states/eV per cell
**Raw total energy**: -6.80 eV per atom

***

Entry 6:
The following is a DFT calculation (PBE) of an optimized crystal structure of Te2MoWSeS.

Cell and atoms, written as CIF:
```
data_Te2MoWSeS
_space_group_name_H-M_alt 'P 3 m 1'
_space_group_IT_number 156
_cell_length_a 3.3974
_cell_length_b 3.3974
_cell_length_c 36.9594
_cell_angle_alpha 90.00
_cell_angle_beta 90.00
_cell_angle_gamma 120.00
loop_
_space_group_symop_operation_xyz
'x,y,z'
'-y,x-y,z'
'-x+y,-x,z'
'-y,-x,z'
'-x+y,y,z'
'x,x-y,z'
loop_
_atom_site_label
_atom_site_fract_x
_atom_site_fract_y
_atom_site_fract_z
Te1 0.0000 0.0000 0.0000
Te2 0.0000 0.0000 0.1014
Te3 0.0000 0.0000 0.5953
Te4 0.0000 0.0000 0.6973
Mo1 0.0000 0.0000 0.4529
Mo2 0.3333 0.6667 0.0507
W1 0.0000 0.0000 0.8505
W2 0.3333 0.6667 0.6463
Se1 0.3333 0.6667 0.8057
Se2 0.3333 0.6667 0.8953
S1 0.3333 0.6667 0.4123
S2 0.3333 0.6667 0.4935
```

Results
**Calculated volume**: 185 Å³/f.u.
**E_form (uncorrected)**: -0.3928 eV/atom
**Density of states at the Fermi level**: 2.13 states/eV per cell
**Raw total energy**: -6.67 eV per atom

***

Entry 7:
The following is a DFT calculation (PBE) of an optimized crystal structure of TeMoWSeS2.

Cell and atoms, written as CIF:
```
data_TeMoWSeS2
_space_group_name_H-M_alt 'P 3 m 1'
_space_group_IT_number 156
_cell_length_a 3.3057
_cell_length_b 3.3057
_cell_length_c 29.9389
_cell_angle_alpha 90.00
_cell_angle_beta 90.00
_cell_angle_gamma 120.00
loop_
_space_group_symop_operation_xyz
'x,y,z'
'-y,x-y,z'
'-x+y,-x,z'
'-y,-x,z'
'-x+y,y,z'
'x,x-y,z'
loop_
_atom_site_label
_atom_site_fract_x
_atom_site_fract_y
_atom_site_fract_z
Te1 0.0000 0.0000 0.0000
Te2 0.0000 0.0000 0.1279
Mo1 0.6667 0.3333 0.0640
Mo2 0.6667 0.3333 0.5580
W1 0.0000 0.0000 0.3275
W2 0.0000 0.0000 0.8083
Se1 0.6667 0.3333 0.7519
Se2 0.6667 0.3333 0.8647
S1 0.0000 0.0000 0.5070
S2 0.0000 0.0000 0.6090
S3 0.6667 0.3333 0.2763
S4 0.6667 0.3333 0.3788
```

Results
**Calculated volume**: 142 Å³/f.u.
**E_form (uncorrected)**: -0.5831 eV/atom
**Density of states at the Fermi level**: 0.70 states/eV per cell
**Raw total energy**: -7.03 eV per atom

***

Entry 8:
The following is a DFT calculation (PBE) of an optimized crystal structure of Te2Mo3WSe2S4.

Cell and atoms, written as CIF:
```
data_Te2Mo3WSe2S4
_space_group_name_H-M_alt 'P 3 m 1'
_space_group_IT_number 156
_cell_length_a 3.3075
_cell_length_b 3.3075
_cell_length_c 33.1160
_cell_angle_alpha 90.00
_cell_angle_beta 90.00
_cell_angle_gamma 120.00
loop_
_space_group_symop_operation_xyz
'x,y,z'
'-y,x-y,z'
'-x+y,-x,z'
'-y,-x,z'
'-x+y,y,z'
'x,x-y,z'
loop_
_atom_site_label
_atom_site_fract_x
_atom_site_fract_y
_atom_site_fract_z
Te1 0.0000 0.0000 0.0000
Te2 0.0000 0.0000 0.1156
Mo1 0.0000 0.0000 0.8381
Mo2 0.3333 0.6667 0.0578
Mo3 0.3333 0.6667 0.5014
W1 0.0000 0.0000 0.2865
Se1 0.3333 0.6667 0.2355
Se2 0.3333 0.6667 0.3375
S1 0.0000 0.0000 0.4552
S2 0.0000 0.0000 0.5475
S3 0.3333 0.6667 0.7920
S4 0.3333 0.6667 0.8842
```

Results
**Calculated volume**: 314 Å³/f.u.
**E_form (uncorrected)**: -0.5960 eV/atom
**Density of states at the Fermi level**: 0.91 states/eV per cell
**Raw total energy**: -6.86 eV per atom

***

Entry 9:
The following is a DFT calculation (PBE) of an optimized crystal structure of Te2Mo3WSe2S4.

Cell and atoms, written as CIF:
```
data_Te2Mo3WSe2S4
_space_group_name_H-M_alt 'P 3 m 1'
_space_group_IT_number 156
_cell_length_a 3.3098
_cell_length_b 3.3098
_cell_length_c 33.1610
_cell_angle_alpha 90.00
_cell_angle_beta 90.00
_cell_angle_gamma 120.00
loop_
_space_group_symop_operation_xyz
'x,y,z'
'-y,x-y,z'
'-x+y,-x,z'
'-y,-x,z'
'-x+y,y,z'
'x,x-y,z'
loop_
_atom_site_label
_atom_site_fract_x
_atom_site_fract_y
_atom_site_fract_z
Te1 0.0000 0.0000 0.0000
Te2 0.0000 0.0000 0.1161
Mo1 0.0000 0.0000 0.4232
Mo2 0.0000 0.0000 0.8394
Mo3 0.3333 0.6667 0.6369
W1 0.3333 0.6667 0.0581
Se1 0.3333 0.6667 0.3726
Se2 0.3333 0.6667 0.4738
S1 0.0000 0.0000 0.5909
S2 0.0000 0.0000 0.6830
S3 0.3333 0.6667 0.7934
S4 0.3333 0.6667 0.8854
```

Results
**Calculated volume**: 315 Å³/f.u.
**E_form (uncorrected)**: -0.5744 eV/atom
**Density of states at the Fermi level**: 0.84 states/eV per cell
**Raw total energy**: -6.84 eV per atom

***

Entry 10:
The following is a DFT calculation (PBE) of an optimized crystal structure of Te2MoW3Se4S2.

Cell and atoms, written as CIF:
```
data_Te2MoW3Se4S2
_space_group_name_H-M_alt 'P 3 m 1'
_space_group_IT_number 156
_cell_length_a 3.3436
_cell_length_b 3.3436
_cell_length_c 36.9969
_cell_angle_alpha 90.00
_cell_angle_beta 90.00
_cell_angle_gamma 120.00
loop_
_space_group_symop_operation_xyz
'x,y,z'
'-y,x-y,z'
'-x+y,-x,z'
'-y,-x,z'
'-x+y,y,z'
'x,x-y,z'
loop_
_atom_site_label
_atom_site_fract_x
_atom_site_fract_y
_atom_site_fract_z
Te1 0.0000 0.0000 0.0000
Te2 0.0000 0.0000 0.1032
Mo1 0.6667 0.3333 0.6580
W1 0.0000 0.0000 0.2548
W2 0.0000 0.0000 0.8484
W3 0.6667 0.3333 0.0516
Se1 0.6667 0.3333 0.2095
Se2 0.6667 0.3333 0.3000
Se3 0.6667 0.3333 0.8031
Se4 0.6667 0.3333 0.8936
S1 0.0000 0.0000 0.6170
S2 0.0000 0.0000 0.6990
```

Results
**Calculated volume**: 358 Å³/f.u.
**E_form (uncorrected)**: -0.4802 eV/atom
**Density of states at the Fermi level**: 0.64 states/eV per cell
**Raw total energy**: -6.99 eV per atom